1.
PBE ReAsOsO, relaxed; polymorph energy (0 for the lowest one) = 424 meV per atom
1.0
3.922 0.000 0.000
0.000 3.922 0.000
0.000 0.000 6.630
Re As Os O
2 2 2 2
direct
0.250 0.750 0.000
0.750 0.250 0.000
0.250 0.250 0.247
0.750 0.750 0.753
0.250 0.250 0.694
0.750 0.750 0.306
0.250 0.750 0.500
0.750 0.250 0.500

---

2.
PBE PuCoPt, relaxed; formation energy from the elements = -244 meV/atom
1.0
5.987 0.000 0.000
0.000 5.987 0.000
0.000 0.000 5.987
Pu Co Pt
4 4 4
direct
0.000 0.000 0.000
0.000 0.500 0.500
0.500 0.000 0.500
0.500 0.500 0.000
0.250 0.250 0.750
0.250 0.750 0.250
0.750 0.250 0.250
0.750 0.750 0.750
0.000 0.000 0.500
0.000 0.500 0.000
0.500 0.000 0.000
0.500 0.500 0.500

---

3.
PBE Cu2Ag3, relaxed; polymorph energy (0 for the lowest one) = 57 meV per atom; formation energy from the elements = 89 meV/atom
1.0
7.189 -1.955 0.000
7.189 1.955 0.000
-1.215 0.000 5.552
Cu Ag
4 6
direct
0.000 0.000 0.000
0.191 0.191 0.090
0.593 0.593 0.278
0.795 0.795 0.894
0.195 0.195 0.594
0.394 0.394 0.177
0.396 0.396 0.696
0.599 0.599 0.812
0.787 0.787 0.371
0.998 0.998 0.483

---

4.
DFT (PBE) results for a relaxed Ho4Se3S4 crystal.

```
Ho4Se3S4
1.0
9.970 0.000 0.000
0.000 2.058 6.606
0.000 -2.058 6.606
Ho Se S
4 3 4
direct
0.000 0.000 0.000
0.242 0.291 0.291
0.500 0.993 0.993
0.758 0.291 0.291
0.000 0.657 0.657
0.376 0.643 0.643
0.624 0.643 0.643
0.000 0.371 0.371
0.248 0.922 0.922
0.500 0.360 0.360
0.752 0.922 0.922
```

---

5.
DFT (PBE) results for a relaxed TaAl3 crystal.

```
TaAl3
1.0
3.859 0.000 0.000
0.000 3.859 0.000
0.000 0.000 8.577
Ta Al
2 6
direct
0.000 0.000 0.000
0.500 0.500 0.500
0.000 0.000 0.500
0.000 0.500 0.250
0.000 0.500 0.750
0.500 0.000 0.250
0.500 0.000 0.750
0.500 0.500 0.000
```

---

6.
PBE PmSnSb, relaxed; polymorph energy (0 for the lowest one) = 0 meV per atom
1.0
7.392 0.000 0.000
0.000 7.392 0.000
0.000 0.000 7.392
Pm Sn Sb
4 4 4
direct
0.000 0.000 0.000
0.000 0.500 0.500
0.500 0.000 0.500
0.500 0.500 0.000
0.000 0.000 0.500
0.000 0.500 0.000
0.500 0.000 0.000
0.500 0.500 0.500
0.250 0.250 0.250
0.250 0.750 0.750
0.750 0.250 0.750
0.750 0.750 0.250

---

7.
DFT (PBE) results for a relaxed Ho2Al4AgPt crystal.

```
Ho2Al4AgPt
1.0
6.824 0.000 0.000
0.000 4.383 0.000
0.000 0.000 10.245
Ho Al Ag Pt
4 8 2 2
direct
0.000 0.000 0.000
0.000 0.500 0.500
0.500 0.000 0.154
0.500 0.500 0.654
0.193 0.000 0.710
0.193 0.500 0.210
0.297 0.000 0.443
0.297 0.500 0.943
0.703 0.000 0.443
0.703 0.500 0.943
0.807 0.000 0.710
0.807 0.500 0.210
0.500 0.000 0.869
0.500 0.500 0.369
0.000 0.000 0.284
0.000 0.500 0.784
```

---

8.
DFT (PBE) results for a relaxed Cs2PtO3 crystal.

```
Cs2PtO3
1.0
5.386 -3.714 0.000
5.386 3.714 0.000
0.000 0.000 6.188
Cs Pt O
4 2 6
direct
0.033 0.305 0.250
0.305 0.033 0.750
0.695 0.967 0.250
0.967 0.695 0.750
0.465 0.535 0.250
0.535 0.465 0.750
0.194 0.806 0.250
0.380 0.380 0.000
0.380 0.380 0.500
0.620 0.620 0.000
0.620 0.620 0.500
0.806 0.194 0.750
```

---

no.,calculated total energy (eV/atom)
1,-7.948
2,-9.340
3,-3.092
4,-5.842
5,-6.092
6,-4.599
7,-4.821
8,-4.602